A plane-wave DFT calculation with PBE-GGA was carried out for crystalline ZnRePdAu2 at its relaxed geometry.

Lattice parameters (Å, degrees): 5.0646 5.0646 4.7558 90.00 90.00 90.00
Last column: nearest neighbours and their distance in Å.
Fractional coordinates of all 5 atoms:
Zn (0.0000, 0.0000, 0.0000)  8 Au 3.47, 4 Re 3.58
Re (0.5000, 0.5000, 0.0000)  2 Pd 2.38
Pd (0.5000, 0.5000, 0.5000)  2 Re 2.38, 4 Au 2.53
Au (0.0000, 0.5000, 0.5000)  2 Pd 2.53
Au (0.5000, 0.0000, 0.5000)  2 Pd 2.53

Summary:
The total energy comes out at -18.35 eV per formula unit.



A plane-wave DFT calculation with PBE-GGA was carried out for crystalline PdRhAu2 at its relaxed geometry.

Lattice parameters (Å, degrees): 5.8263 5.8263 5.8263 102.70 102.70 124.09
Last column: nearest neighbours and their distance in Å.
Fractional coordinates of all 8 atoms:
Pd (0.0000, 0.0000, 0.0000)  4 Au 2.68, 2 Rh 2.73
Pd (0.7500, 0.2500, 0.5000)  4 Au 2.68, 2 Rh 2.73
Rh (0.2500, 0.7500, 0.5000)  4 Au 2.64, 2 Pd 2.73
Rh (0.5000, 0.5000, 0.0000)  4 Au 2.64, 2 Pd 2.73
Au (0.1287, 0.6250, 0.0037)  2 Rh 2.64, 2 Pd 2.68, 2 Au 2.73
Au (0.3750, 0.3787, 0.5037)  2 Rh 2.64, 2 Pd 2.68, 2 Au 2.73
Au (0.6213, 0.1250, 0.9963)  2 Rh 2.64, 2 Pd 2.68, 2 Au 2.73
Au (0.8750, 0.8713, 0.4963)  2 Rh 2.64, 2 Pd 2.68, 2 Au 2.73

Summary:
Its energy above the most stable polymorph in this dataset is 368 meV/atom.



A plane-wave DFT calculation with PBE-GGA was carried out for crystalline Pd2RhAu at its relaxed geometry.

Lattice parameters (Å, degrees): 3.2963 3.2963 5.8406 90.00 90.00 90.00
Last column: nearest neighbours and their distance in Å.
Fractional coordinates of all 4 atoms:
Pd (0.0000, 0.0000, 0.2356)  4 Rh 2.71, 1 Pd 2.75, 4 Au 2.80
Pd (0.0000, 0.0000, 0.7644)  4 Rh 2.71, 1 Pd 2.75, 4 Au 2.80
Rh (0.5000, 0.5000, 0.0000)  8 Pd 2.71, 2 Au 2.92
Au (0.5000, 0.5000, 0.5000)  8 Pd 2.80, 2 Rh 2.92

Summary:
The total energy comes out at -20.56 eV per formula unit.



A plane-wave DFT calculation with PBE-GGA was carried out for crystalline PdRhAu3 at its relaxed geometry.

Lattice parameters (Å, degrees): 4.9719 4.9719 4.9719 90.00 90.00 90.00
Last column: nearest neighbours and their distance in Å.
Fractional coordinates of all 5 atoms:
Pd (0.0000, 0.0000, 0.0000)  6 Au 2.49
Rh (0.5000, 0.5000, 0.5000)  12 Au 3.52
Au (0.0000, 0.0000, 0.5000)  2 Pd 2.49
Au (0.0000, 0.5000, 0.0000)  2 Pd 2.49
Au (0.5000, 0.0000, 0.0000)  2 Pd 2.49

Summary:
Its energy above the most stable polymorph in this dataset is 104 meV/atom.



A plane-wave DFT calculation with PBE-GGA was carried out for crystalline Pd2RhAu at its relaxed geometry.

Lattice parameters (Å, degrees): 9.3153 9.3153 9.3153 17.37 17.37 17.37
Last column: nearest neighbours and their distance in Å.
Fractional coordinates of all 4 atoms:
Pd (0.2465, 0.2465, 0.2465)  3 Rh 2.73, 6 Pd 2.81, 3 Au 2.89
Pd (0.7535, 0.7535, 0.7535)  3 Rh 2.73, 6 Pd 2.81, 3 Au 2.89
Rh (0.5000, 0.5000, 0.5000)  6 Pd 2.73, 6 Rh 2.81
Au (0.0000, 0.0000, 0.0000)  6 Au 2.81, 6 Pd 2.89

Summary:
The total energy comes out at -20.84 eV per formula unit.



A plane-wave DFT calculation with PBE-GGA was carried out for crystalline PdRhAu3 at its relaxed geometry.

Lattice parameters (Å, degrees): 4.9666 4.9666 4.9666 90.00 90.00 90.00
Last column: nearest neighbours and their distance in Å.
Fractional coordinates of all 5 atoms:
Pd (0.0000, 0.0000, 0.0000)  12 Au 3.51
Rh (0.5000, 0.5000, 0.5000)  6 Au 2.48
Au (0.0000, 0.5000, 0.5000)  2 Rh 2.48
Au (0.5000, 0.0000, 0.5000)  2 Rh 2.48
Au (0.5000, 0.5000, 0.0000)  2 Rh 2.48

Summary:
Its energy above the most stable polymorph in this dataset is 0 meV/atom.



A plane-wave DFT calculation with PBE-GGA was carried out for crystalline PdRhAu2 at its relaxed geometry.

Lattice parameters (Å, degrees): 4.0633 4.0633 3.9654 90.00 90.00 90.00
Last column: nearest neighbours and their distance in Å.
Fractional coordinates of all 4 atoms:
Pd (0.0000, 0.0000, 0.0000)  8 Au 2.84, 4 Rh 2.87
Rh (0.5000, 0.5000, 0.0000)  8 Au 2.84, 4 Pd 2.87
Au (0.0000, 0.5000, 0.5000)  4 Rh 2.84, 4 Pd 2.84, 4 Au 2.87
Au (0.5000, 0.0000, 0.5000)  4 Rh 2.84, 4 Pd 2.84, 4 Au 2.87

Summary:
Its energy above the most stable polymorph in this dataset is 31 meV/atom.



A plane-wave DFT calculation with PBE-GGA was carried out for crystalline Pd8RhAu2 at its relaxed geometry.

Lattice parameters (Å, degrees): 7.4464 7.4464 6.3095 104.74 104.74 30.90
Last column: nearest neighbours and their distance in Å.
Fractional coordinates of all 11 atoms:
Pd (0.0449, 0.0449, 0.2278)  8 Pd 2.79-2.82, 2 Rh 2.81, 2 Au 2.82
Pd (0.2261, 0.2261, 0.1362)  9 Pd 2.81-2.85, 3 Au 2.82
Pd (0.3203, 0.3203, 0.5939)  8 Pd 2.79-2.86, 1 Rh 2.79, 3 Au 2.81-2.83
Pd (0.4105, 0.4105, 0.0469)  9 Pd 2.78-2.85, 1 Rh 2.81, 2 Au 2.82
Pd (0.5895, 0.5895, 0.9531)  9 Pd 2.78-2.85, 1 Rh 2.81, 2 Au 2.82
Pd (0.6797, 0.6797, 0.4061)  8 Pd 2.79-2.86, 1 Rh 2.79, 3 Au 2.81-2.83
Pd (0.7739, 0.7739, 0.8638)  9 Pd 2.81-2.85, 3 Au 2.82
Pd (0.9551, 0.9551, 0.7722)  8 Pd 2.79-2.82, 2 Rh 2.81, 2 Au 2.82
Rh (0.5000, 0.5000, 0.5000)  8 Pd 2.79-2.81, 4 Au 2.81
Au (0.1368, 0.1368, 0.6812)  10 Pd 2.81-2.83, 2 Rh 2.81
Au (0.8632, 0.8632, 0.3188)  10 Pd 2.81-2.83, 2 Rh 2.81

Summary:
Its energy above the most stable polymorph in this dataset is 0 meV/atom.